The following is a DFT calculation (PBE) of a geometry-optimized KPrPb2 structure.

Values from the calculation:
For the energy above the lowest structure with this stoichiometry, the calculation gives 0.293 eV/f.u. As for the formation energy from the elements: -0.98 eV/f.u. The symmetry is P4/mmm.

```
KPrPb2
1.0
4.796 0.000 0.000
0.000 5.183 0.000
0.000 0.000 5.183
Pb Pr K
2 1 1
direct
0.000 0.000 0.500
0.000 0.500 0.000
0.500 0.500 0.500
0.500 0.000 0.000
```

=====

The following is a DFT calculation (PBE) of a geometry-optimized KPrPb structure.

Values from the calculation:
As for the formation energy from the elements: -0.40 eV/f.u. The symmetry is R-3m.

```
KPrPb
1.0
-0.498 -3.573 -4.138
0.893 -5.347 0.868
-9.836 -4.262 1.224
Pr K Pb
2 2 2
direct
0.294 0.294 0.119
0.706 0.706 0.881
0.126 0.126 0.622
0.874 0.874 0.378
0.400 0.400 0.799
0.600 0.600 0.201
```

=====

The following is a DFT calculation (PBE) of a geometry-optimized K3Pr2PbS6 structure.

Values from the calculation:
The calculation puts the formation energy (no corrections) at -1.430 eV/atom. The symmetry is C2/m.

```
K3Pr2PbS6
1.0
7.301 0.000 0.001
-3.649 6.324 0.001
-1.217 -2.107 7.422
K Pr Pb S
3 2 1 6
direct
0.164 0.836 0.500
0.836 0.164 0.500
0.500 0.500 0.500
0.333 0.667 0.000
0.667 0.333 0.000
0.000 0.000 0.000
0.930 0.594 0.789
0.734 0.734 0.210
0.070 0.406 0.211
0.594 0.930 0.789
0.266 0.266 0.790
0.406 0.070 0.211
```

=====

The following is a DFT calculation (PBE) of a geometry-optimized KPr2PbSe4 structure.

Values from the calculation:
The calculation puts the formation energy (no corrections) at -1.418 eV/atom. The symmetry is Imma.

```
KPr2PbSe4
1.0
-2.013 0.597 8.541
0.531 -8.744 0.781
6.765 4.405 -3.085
K Pr Pb Se
2 4 2 8
direct
0.000 0.500 0.000
0.000 0.500 0.500
0.500 0.000 0.000
0.500 0.000 0.500
0.000 0.000 0.500
0.500 0.500 0.000
0.500 0.500 0.500
0.000 0.000 0.000
0.274 0.763 0.019
0.737 0.226 0.481
0.263 0.774 0.519
0.726 0.237 0.981
0.743 0.757 0.007
0.743 0.757 0.493
0.257 0.243 0.507
0.257 0.243 0.993
```

=====

The following is a DFT calculation (PBE) of a geometry-optimized KPr2Te4Pb structure.

Values from the calculation:
The calculation puts the formation energy (no corrections) at -1.018 eV/atom. The symmetry is Cmcm.

```
KPr2Te4Pb
1.0
4.615 0.000 0.000
-2.308 7.899 0.000
0.000 0.000 16.713
K Pr Te Pb
2 4 8 2
direct
0.142 0.284 0.750
0.858 0.716 0.250
0.374 0.749 0.562
0.626 0.251 0.062
0.626 0.251 0.438
0.374 0.749 0.938
0.271 0.542 0.102
0.729 0.458 0.602
0.729 0.458 0.898
0.271 0.542 0.398
0.000 0.000 0.500
0.000 0.000 0.000
0.478 0.956 0.750
0.522 0.044 0.250
0.857 0.715 0.750
0.143 0.285 0.250
```

=====

The following is a DFT calculation (PBE) of a geometry-optimized KPrTlPb structure.

Values from the calculation:
As for the formation energy from the elements: -0.66 eV/f.u. The symmetry is F-43m.

```
KPrTlPb
1.0
-5.403 1.873 -0.175
-3.908 -2.202 3.552
-2.071 3.166 4.292
Pb Pr Tl K
1 1 1 1
direct
0.250 0.250 0.250
0.000 0.000 0.000
0.750 0.750 0.750
0.500 0.500 0.500
```

=====

The following is a DFT calculation (PBE) of a geometry-optimized KPt2Pb2 structure.

Values from the calculation:
For the energy above the lowest structure with this stoichiometry, the calculation gives 0.789 eV/f.u. As for the formation energy from the elements: -0.54 eV/f.u. The symmetry is P4/mbm.

```
KPt2Pb2
1.0
8.426 0.000 0.000
0.000 8.426 0.000
0.000 0.000 3.398
Pb K Pt
4 2 4
direct
0.153 0.653 0.500
0.653 0.847 0.500
0.847 0.347 0.500
0.347 0.153 0.500
0.000 0.000 0.000
0.500 0.500 0.000
0.368 0.868 0.000
0.868 0.632 0.000
0.632 0.132 0.000
0.132 0.368 0.000
```

=====

The following is a DFT calculation (PBE) of a geometry-optimized KPt2Pb structure.

Values from the calculation:
As for the formation energy from the elements: -0.79 eV/f.u. The symmetry is Cmcm.

```
KPt2Pb
1.0
-2.871 -3.245 -1.241
4.108 1.596 -5.491
5.151 -5.428 2.276
K Pt Pb
2 4 2
direct
0.423 0.847 0.750
0.577 0.153 0.250
0.253 0.506 0.415
0.747 0.494 0.585
0.253 0.506 0.085
0.747 0.494 0.915
0.855 0.710 0.250
0.145 0.290 0.750
```

=====

The following is a DFT calculation (PBE) of a geometry-optimized KPtPb2 structure.

Values from the calculation:
As for the formation energy from the elements: 0.50 eV/f.u. The symmetry is P4/mmm.

```
KPtPb2
1.0
-4.683 0.006 -0.691
0.689 -0.029 -4.670
-0.010 -4.721 0.028
K Pb Pt
1 2 1
direct
0.500 0.000 0.500
0.000 0.000 0.000
0.000 0.500 0.500
0.500 0.500 0.000
```

=====

The following is a DFT calculation (PBE) of a geometry-optimized KPt2Pb8 structure.

Values from the calculation:
For the energy above the lowest structure with this stoichiometry, the calculation gives 0.000 eV/f.u. As for the formation energy from the elements: -0.97 eV/f.u. The symmetry is C2/m.

```
KPt2Pb8
1.0
5.572 0.189 -0.623
-1.248 7.484 -2.323
0.167 -0.466 7.919
K Pt Pb
1 2 8
direct
0.500 0.000 0.000
0.000 0.320 0.680
0.000 0.680 0.320
0.882 0.928 0.657
0.882 0.657 0.928
0.286 0.615 0.615
0.500 0.735 0.265
0.500 0.265 0.735
0.714 0.385 0.385
0.118 0.343 0.072
0.118 0.072 0.343
```

=====

The following is a DFT calculation (PBE) of a geometry-optimized K4PtPb structure.

Values from the calculation:
As for the formation energy from the elements: 2.83 eV/f.u. The symmetry is F-43m.

```
K4PtPb
1.0
0.000 4.667 4.667
4.667 0.000 4.667
4.667 4.667 0.000
K Pt Pb
4 1 1
direct
0.879 0.374 0.374
0.374 0.374 0.879
0.374 0.879 0.374
0.374 0.374 0.374
0.000 0.000 0.000
0.750 0.750 0.750
```

=====

The following is a DFT calculation (PBE) of a geometry-optimized KPt2Pb structure.

Values from the calculation:
As for the formation energy from the elements: 0.00 eV/f.u. The symmetry is Pmm2.

```
KPt2Pb
1.0
-2.810 0.159 1.122
0.305 -3.888 1.313
2.843 2.508 6.766
K Pb Pt
1 1 2
direct
0.000 0.000 0.461
0.500 0.500 0.824
0.000 0.000 0.035
0.500 0.500 0.180
```